# 1
Below is a relaxed structure of TlCdFeTe3, with properties calculated at the GGA-PBE level.

```
data_TlCdFeTe3
_cell_length_a 9.0758
_cell_length_b 4.0149
_cell_length_c 10.8869
_cell_angle_alpha 90.00
_cell_angle_beta 108.03
_cell_angle_gamma 90.00
_symmetry_space_group_name_H-M 'P 1 21/m 1'
_symmetry_Int_Tables_number 11
_symmetry_space_group_name_Hall '-P 2yb'
loop_
_atom_site_label
_atom_site_fract_x
_atom_site_fract_y
_atom_site_fract_z
Tl1 0.2451 0.2500 0.2156
Cd1 0.1838 0.7500 0.6177
Fe1 0.4366 0.2500 0.9208
Te1 0.0410 0.7500 0.3402
Te2 0.2709 0.7500 0.9575
Te3 0.4372 0.2500 0.6836
```

## Properties
The calculation puts the mass density at 6.65 g cm⁻³. The total magnetic moment comes out at 2.889 μB per formula unit. As for the total energy: -43.37 eV per cell. As for the volume: 377.2 Å³/cell.

***

# 2
Below is a relaxed structure of Cs2ZnHgF6, with properties calculated at the GGA-PBE level.

```
data_Cs2ZnHgF6
_cell_length_a 8.6301
_cell_length_b 8.6301
_cell_length_c 8.6301
_cell_angle_alpha 90.00
_cell_angle_beta 90.00
_cell_angle_gamma 90.00
_symmetry_space_group_name_H-M 'F m -3 m'
_symmetry_Int_Tables_number 225
_symmetry_space_group_name_Hall '-F 4 2 3'
loop_
_atom_site_label
_atom_site_fract_x
_atom_site_fract_y
_atom_site_fract_z
Cs1 0.2500 0.2500 0.2500
Zn1 0.0000 0.0000 0.0000
Hg1 0.0000 0.0000 0.5000
F1 0.0000 0.0000 0.2347
```

## Properties
The calculation puts the mass density at 6.67 g cm⁻³. As for the total energy: -146.81 eV per cell. As for the volume: 642.7 Å³/cell.

***

# 3
Below is a relaxed structure of Pa6Pd2S, with properties calculated at the GGA-PBE level.

```
data_Pa6Pd2S
_cell_length_a 9.4024
_cell_length_b 9.4024
_cell_length_c 9.4024
_cell_angle_alpha 90.00
_cell_angle_beta 90.00
_cell_angle_gamma 90.00
_symmetry_space_group_name_H-M 'F m -3 m'
_symmetry_Int_Tables_number 225
_symmetry_space_group_name_Hall '-F 4 2 3'
loop_
_atom_site_label
_atom_site_fract_x
_atom_site_fract_y
_atom_site_fract_z
Pa1 0.0000 0.0000 0.2287
Pd1 0.2500 0.2500 0.2500
S1 0.0000 0.0000 0.5000
```

## Properties
The calculation puts the mass density at 13.03 g cm⁻³. The total magnetic moment comes out at 0.020 μB per formula unit. As for the total energy: -286.89 eV per cell. As for the volume: 831.2 Å³/cell.